1.
# ZnAgOs2 (GGA-PBE, relaxed)
data_ZnAgOs2
_cell_length_a 8.915
_cell_length_b 2.778
_cell_length_c 4.954
_cell_angle_alpha 90.00
_cell_angle_beta 98.29
_cell_angle_gamma 90.00
_space_group_name_H-M_alt 'C 1 m 1'
_space_group_IT_number 8
_space_group_name_Hall 'C -2y'
loop_
_atom_site_label
_atom_site_type_symbol
_atom_site_fract_x
_atom_site_fract_y
_atom_site_fract_z
_atom_site_occupancy
Zn1 Zn 0.000 0.000 0.000 1
Ag1 Ag 0.247 0.000 0.799 1
Os1 Os 0.248 0.500 0.304 1
Os2 Os 0.491 0.000 0.474 1
# DOS at the Fermi energy: 3.47 states/eV/f.u.
# E_form: 1.661 eV/f.u.
# Total magnetic moment: 0.000 Bohr magnetons per cell

=====

2.
# LaPm6Sm2Dy (GGA-PBE, relaxed)
data_LaPm6Sm2Dy
_cell_length_a 9.210
_cell_length_b 15.403
_cell_length_c 9.903
_cell_angle_alpha 90.00
_cell_angle_beta 98.92
_cell_angle_gamma 90.00
_space_group_name_H-M_alt 'C 1 2/c 1'
_space_group_IT_number 15
_space_group_name_Hall '-C 2yc'
loop_
_atom_site_label
_atom_site_type_symbol
_atom_site_fract_x
_atom_site_fract_y
_atom_site_fract_z
_atom_site_occupancy
La1 La 0.000 0.095 0.250 1
Pm1 Pm 0.064 0.318 0.444 1
Pm2 Pm 0.103 0.105 0.622 1
Pm3 Pm 0.200 0.275 0.817 1
Sm1 Sm 0.240 0.450 0.043 1
Dy1 Dy 0.000 0.477 0.750 1
# DOS at the Fermi energy: 15.64 states/eV/f.u.
# E_form: 1.175 eV/f.u.
# Total magnetic moment: 0.000 Bohr magnetons per cell

=====

3.
# MgTlP2 (GGA-PBE, relaxed)
data_MgTlP2
_cell_length_a 3.883
_cell_length_b 3.883
_cell_length_c 10.992
_cell_angle_alpha 90.00
_cell_angle_beta 90.00
_cell_angle_gamma 90.00
_space_group_name_H-M_alt 'I -4 m 2'
_space_group_IT_number 119
_space_group_name_Hall 'I -4 -2'
loop_
_atom_site_label
_atom_site_type_symbol
_atom_site_fract_x
_atom_site_fract_y
_atom_site_fract_z
_atom_site_occupancy
Mg1 Mg 0.000 0.000 0.000 1
Tl1 Tl 0.000 0.500 0.250 1
P1 P 0.000 0.000 0.500 1
P2 P 0.000 0.500 0.750 1
# DOS at the Fermi energy: 2.46 states/eV/f.u.
# E_form: 1.171 eV/f.u.
# ΔE to the lowest computed polymorph: 1.602 eV per formula unit
# Total magnetic moment: 0.000 Bohr magnetons per cell

=====

4.
# MnCoN2 (GGA-PBE, relaxed)
data_MnCoN2
_cell_length_a 2.6192
_cell_length_b 2.6192
_cell_length_c 18.0165
_cell_angle_alpha 90.00
_cell_angle_beta 90.00
_cell_angle_gamma 120.00
_space_group_name_H-M_alt 'R -3 m'
_space_group_IT_number 166
_space_group_name_Hall '-R 3 2"'
loop_
_atom_site_label
_atom_site_type_symbol
_atom_site_fract_x
_atom_site_fract_y
_atom_site_fract_z
_atom_site_occupancy
Mn1 Mn 0.0000 0.0000 0.0000 1
Co1 Co 0.0000 0.0000 0.5000 1
N1 N 0.0000 0.0000 0.4005 1
# DOS at the Fermi energy: 2.43 states/eV/f.u.
# ΔE to the lowest computed polymorph: 1.263 eV per formula unit
# Total magnetic moment: 1.655 Bohr magnetons per cell

=====

5.
# TaAgAs2 (GGA-PBE, relaxed)
data_TaAgAs2
_cell_length_a 3.644
_cell_length_b 3.644
_cell_length_c 5.545
_cell_angle_alpha 90.00
_cell_angle_beta 90.00
_cell_angle_gamma 90.00
_space_group_name_H-M_alt 'P 4 m m'
_space_group_IT_number 99
_space_group_name_Hall 'P 4 -2'
loop_
_atom_site_label
_atom_site_type_symbol
_atom_site_fract_x
_atom_site_fract_y
_atom_site_fract_z
_atom_site_occupancy
Ta1 Ta 0.000 0.000 0.000 1
Ag1 Ag 0.500 0.500 0.681 1
As1 As 0.000 0.000 0.539 1
As2 As 0.500 0.500 0.158 1
# DOS at the Fermi energy: 0.83 states/eV/f.u.
# E_form: -0.065 eV/f.u.
# Total magnetic moment: 0.000 Bohr magnetons per cell

=====

6.
# CoNi2Rh2 (GGA-PBE, relaxed)
data_CoNi2Rh2
_cell_length_a 6.981
_cell_length_b 6.981
_cell_length_c 2.705
_cell_angle_alpha 90.00
_cell_angle_beta 90.00
_cell_angle_gamma 90.00
_space_group_name_H-M_alt 'P 4/m b m'
_space_group_IT_number 127
_space_group_name_Hall '-P 4 2ab'
loop_
_atom_site_label
_atom_site_type_symbol
_atom_site_fract_x
_atom_site_fract_y
_atom_site_fract_z
_atom_site_occupancy
Co1 Co 0.000 0.000 0.000 1
Ni1 Ni 0.121 0.379 0.000 1
Rh1 Rh 0.177 0.677 0.500 1
# DOS at the Fermi energy: 7.12 states/eV/f.u.
# E_form: 1.409 eV/f.u.
# ΔE to the lowest computed polymorph: 0.663 eV per formula unit
# Total magnetic moment: 9.324 Bohr magnetons per cell

=====

7.
# CePmThPa (GGA-PBE, relaxed)
data_CePmThPa
_cell_length_a 7.766
_cell_length_b 7.766
_cell_length_c 7.766
_cell_angle_alpha 90.00
_cell_angle_beta 90.00
_cell_angle_gamma 90.00
_space_group_name_H-M_alt 'F -4 3 m'
_space_group_IT_number 216
_space_group_name_Hall 'F -4 2 3'
loop_
_atom_site_label
_atom_site_type_symbol
_atom_site_fract_x
_atom_site_fract_y
_atom_site_fract_z
_atom_site_occupancy
Ce1 Ce 0.000 0.000 0.000 1
Pm1 Pm 0.000 0.000 0.500 1
Th1 Th 0.250 0.250 0.750 1
Pa1 Pa 0.250 0.250 0.250 1
# DOS at the Fermi energy: 11.01 states/eV/f.u.
# E_form: 1.474 eV/f.u.
# Total magnetic moment: 0.016 Bohr magnetons per cell

=====

8.
# RuRhIO2 (GGA-PBE, relaxed)
data_RuRhIO2
_cell_length_a 3.745
_cell_length_b 3.745
_cell_length_c 6.534
_cell_angle_alpha 90.00
_cell_angle_beta 90.00
_cell_angle_gamma 90.00
_space_group_name_H-M_alt 'P 4/m m m'
_space_group_IT_number 123
_space_group_name_Hall '-P 4 2'
loop_
_atom_site_label
_atom_site_type_symbol
_atom_site_fract_x
_atom_site_fract_y
_atom_site_fract_z
_atom_site_occupancy
Ru1 Ru 0.000 0.000 0.000 1
Rh1 Rh 0.500 0.500 0.500 1
I1 I 0.000 0.000 0.500 1
O1 O 0.000 0.500 0.000 1
# DOS at the Fermi energy: 5.58 states/eV/f.u.
# ΔE to the lowest computed polymorph: 0.000 eV per formula unit
# Total magnetic moment: 0.013 Bohr magnetons per cell

=====

9.
# NaPr4Er3Te8 (GGA-PBE, relaxed)
data_NaPr4Er3Te8
_cell_length_a 8.8161
_cell_length_b 8.8161
_cell_length_c 22.1357
_cell_angle_alpha 90.00
_cell_angle_beta 90.00
_cell_angle_gamma 120.00
_space_group_name_H-M_alt 'R -3 m'
_space_group_IT_number 166
_space_group_name_Hall '-R 3 2"'
loop_
_atom_site_label
_atom_site_type_symbol
_atom_site_fract_x
_atom_site_fract_y
_atom_site_fract_z
_atom_site_occupancy
Na1 Na 0.0000 0.0000 0.0000 1
Pr1 Pr 0.0000 0.0000 0.5000 1
Pr2 Pr 0.0000 0.5000 0.5000 1
Er1 Er 0.0000 0.5000 0.0000 1
Te1 Te 0.0000 0.0000 0.2558 1
Te2 Te 0.0015 0.5008 0.2555 1
# VASP energy: -80.72 eV per formula unit
# DOS at the Fermi energy: 8.48 states/eV/f.u.
# Total magnetic moment: 0.000 Bohr magnetons per cell

=====

10.
# DyPaCrTc (GGA-PBE, relaxed)
data_DyPaCrTc
_cell_length_a 6.870
_cell_length_b 6.870
_cell_length_c 6.870
_cell_angle_alpha 90.00
_cell_angle_beta 90.00
_cell_angle_gamma 90.00
_space_group_name_H-M_alt 'F -4 3 m'
_space_group_IT_number 216
_space_group_name_Hall 'F -4 2 3'
loop_
_atom_site_label
_atom_site_type_symbol
_atom_site_fract_x
_atom_site_fract_y
_atom_site_fract_z
_atom_site_occupancy
Dy1 Dy 0.000 0.000 0.000 1
Pa1 Pa 0.000 0.000 0.500 1
Cr1 Cr 0.250 0.250 0.750 1
Tc1 Tc 0.250 0.250 0.250 1
# DOS at the Fermi energy: 4.94 states/eV/f.u.
# E_form: 0.548 eV/f.u.
# Total magnetic moment: 8.570 Bohr magnetons per cell

=====

11.
# ScTl2Fe (GGA-PBE, relaxed)
data_ScTl2Fe
_cell_length_a 6.998
_cell_length_b 6.998
_cell_length_c 6.998
_cell_angle_alpha 90.00
_cell_angle_beta 90.00
_cell_angle_gamma 90.00
_space_group_name_H-M_alt 'F -4 3 m'
_space_group_IT_number 216
_space_group_name_Hall 'F -4 2 3'
loop_
_atom_site_label
_atom_site_type_symbol
_atom_site_fract_x
_atom_site_fract_y
_atom_site_fract_z
_atom_site_occupancy
Sc1 Sc 0.000 0.000 0.000 1
Tl1 Tl 0.000 0.000 0.500 1
Tl2 Tl 0.250 0.250 0.250 1
Fe1 Fe 0.250 0.250 0.750 1
# DOS at the Fermi energy: 4.61 states/eV/f.u.
# E_form: 1.486 eV/f.u.
# ΔE to the lowest computed polymorph: 0.764 eV per formula unit
# Total magnetic moment: 7.985 Bohr magnetons per cell

=====

12.
# TcP3 (GGA-PBE, relaxed)
data_TcP3
_cell_length_a 15.436
_cell_length_b 3.116
_cell_length_c 5.171
_cell_angle_alpha 90.00
_cell_angle_beta 90.00
_cell_angle_gamma 90.00
_space_group_name_H-M_alt 'P n m a'
_space_group_IT_number 62
_space_group_name_Hall '-P 2ac 2n'
loop_
_atom_site_label
_atom_site_type_symbol
_atom_site_fract_x
_atom_site_fract_y
_atom_site_fract_z
_atom_site_occupancy
Tc1 Tc 0.150 0.250 0.149 1
P1 P 0.013 0.250 0.353 1
P2 P 0.119 0.750 0.819 1
P3 P 0.207 0.750 0.477 1
# E_form: -1.781 eV/f.u.
# ΔE to the lowest computed polymorph: 0.000 eV per formula unit
# Total magnetic moment: 0.000 Bohr magnetons per cell

=====

- Which value of total magnetic moment does entry 5 give?
  0.000 Bohr magnetons per cell